Entry 1
Below is a geometry-optimized CsUBr4 structure, with properties calculated at the GGA-PBE level.

Output
SG = No. 15

Cell and atoms, written as POSCAR:
```
CsUBr4
1.0
9.0340 -3.5646 0.0000
9.0340 3.5646 0.0000
-1.4744 0.0000 8.1820
Cs U Br
2 2 8
Direct
0.2197 0.7803 0.7500
0.7803 0.2197 0.2500
0.0000 0.5000 0.0000
0.5000 0.0000 0.5000
0.1182 0.3058 0.3044
0.2430 0.5698 0.0889
0.3058 0.1182 0.8044
0.4302 0.7570 0.4111
0.5698 0.2430 0.5889
0.6942 0.8818 0.1956
0.7570 0.4302 0.9111
0.8818 0.6942 0.6956
```

=====

Entry 2
Below is a geometry-optimized CsUBr4 structure, with properties calculated at the GGA-PBE level.

Output
SG = No. 129

Cell and atoms, written as POSCAR:
```
CsUBr4
1.0
10.9708 0.0000 0.0000
0.0000 10.9708 0.0000
0.0000 0.0000 4.3279
Cs U Br
2 2 8
Direct
0.2500 0.2500 0.1823
0.7500 0.7500 0.8177
0.2500 0.7500 0.0000
0.7500 0.2500 0.0000
0.0274 0.7500 0.3183
0.2500 0.5274 0.6817
0.2500 0.9726 0.6817
0.4726 0.7500 0.3183
0.5274 0.2500 0.6817
0.7500 0.0274 0.3183
0.7500 0.4726 0.3183
0.9726 0.2500 0.6817
```

=====

Consider the structures shown above. The most stable of them is entry 1.